Record 1
Computed, not measured: an optimized crystal structure of Ca2VNi2 at the GGA-PBE level of DFT.

abc: 6.5632 6.5632 4.5489
angles: 90.00 90.00 90.00
Last column: nearest neighbours and their distance in Å.
Atoms (fractional coordinates):
Ca 0.8225 0.3225 0.5000  6 Ni 2.90-3.05
V 0.0000 0.0000 0.0000  4 Ni 2.58
Ca 0.1775 0.6775 0.5000  6 Ni 2.90-3.05
Ca 0.6775 0.8225 0.5000  6 Ni 2.90-3.05
Ca 0.3225 0.1775 0.5000  6 Ni 2.90-3.05
Ni 0.8712 0.6288 0.0000  1 Ni 2.39, 2 V 2.58
Ni 0.6288 0.1288 0.0000  1 Ni 2.39, 2 V 2.58
V 0.5000 0.5000 0.0000  4 Ni 2.58
Ni 0.3713 0.8712 0.0000  1 Ni 2.39, 2 V 2.58
Ni 0.1288 0.3713 0.0000  1 Ni 2.39, 2 V 2.58

* M_tot: 4.9 μB per cell
* space-group type: P4/mbm, No. 127
* theoretical density: 4.21 g/cm3
* ΔE_f: 0.79 eV/f.u.

Record 2
Computed, not measured: an optimized crystal structure of Ca2VNi at the GGA-PBE level of DFT.

abc: 8.1635 8.1635 6.4829
angles: 50.98 50.98 90.00
Last column: nearest neighbours and their distance in Å.
Atoms (fractional coordinates):
Ca 0.8750 0.9358 0.7500  2 Ni 2.66
V 0.5000 0.5000 0.0000  2 Ni 2.95
V 0.2500 0.7500 0.5000  2 Ni 2.95
Ni 0.7500 0.2500 0.5000  4 Ca 2.66, 2 V 2.95
Ni 0.0000 0.0000 0.0000  4 Ca 2.66, 2 V 2.95
Ca 0.6858 0.1250 0.2500  2 Ni 2.66
Ca 0.0642 0.6250 0.2500  2 Ni 2.66
Ca 0.3750 0.3142 0.7500  2 Ni 2.66

* M_tot: 8.1 μB per cell
* space-group type: I-42d, No. 122
* theoretical density: 3.21 g/cm3
* ΔE_f: 2.68 eV/f.u.
* energy above the most stable polymorph in this dataset: 0.71 eV per formula unit

Record 3
Computed, not measured: an optimized crystal structure of CaVNi2 at the GGA-PBE level of DFT.

abc: 6.9634 6.9634 5.6952
angles: 52.31 52.31 90.00
Last column: nearest neighbours and their distance in Å.
Atoms (fractional coordinates):
Ca 0.5000 0.5000 0.0000  8 Ni 2.85-3.08, 2 V 2.86
V 0.7500 0.2500 0.5000  4 Ni 2.32
Ni 0.8750 0.9314 0.7500  2 V 2.32
Ni 0.3750 0.3186 0.7500  2 V 2.32
Ni 0.6814 0.1250 0.2500  2 V 2.32
Ni 0.0686 0.6250 0.2500  2 V 2.32
Ca 0.2500 0.7500 0.5000  8 Ni 2.85-3.08, 2 V 2.86
V 0.0000 0.0000 0.0000  4 Ni 2.32

* M_tot: 3.3 μB per cell
* space-group type: I-42d, No. 122
* theoretical density: 4.99 g/cm3
* ΔE_f: 1.75 eV/f.u.
* energy above the most stable polymorph in this dataset: 1.81 eV per formula unit